[1]
The following is a GGA-PBEsol calculation of Cs2AuN2 after structural relaxation, from the Alexandria database.

Cell: 8.4854 8.4854 3.8482 Å, 90.00 90.00 90.00°
Atoms (fractional coordinates):
Cs: 0.2311 0.2689 0.0000
Cs: 0.2689 0.7689 0.0000
Cs: 0.7311 0.2311 0.0000
Cs: 0.7689 0.7311 0.0000
Au: 0.0000 0.0000 0.5000
Au: 0.5000 0.5000 0.5000
N: 0.0488 0.5488 0.5000
N: 0.4512 0.0488 0.5000
N: 0.5488 0.9512 0.5000
N: 0.9512 0.4512 0.5000

DFT total energy = -47.5 eV for the cell shown
crystal system = tetragonal

=====

[2]
The following is a GGA-PBEsol calculation of In2SiAu after structural relaxation, from the Alexandria database.

Cell: 3.1096 4.7689 11.2418 Å, 90.00 90.00 90.00°
Atoms (fractional coordinates):
In: 0.0000 0.0000 0.0000
In: 0.0000 0.5000 0.1859
In: 0.5000 0.0000 0.6859
In: 0.5000 0.5000 0.5000
Si: 0.0000 0.0000 0.4336
Si: 0.5000 0.5000 0.9336
Au: 0.0000 0.5000 0.7543
Au: 0.5000 0.0000 0.2543

DFT total energy = -30.4 eV for the cell shown
crystal system = orthorhombic

=====

[3]
The following is a GGA-PBEsol calculation of Tm3PbC after structural relaxation, from the Alexandria database.

Cell: 4.7689 4.7689 4.7689 Å, 90.00 90.00 90.00°
Atoms (fractional coordinates):
Tm: 0.0000 0.0000 0.5000
Tm: 0.0000 0.5000 0.0000
Tm: 0.5000 0.0000 0.0000
Pb: 0.5000 0.5000 0.5000
C: 0.0000 0.0000 0.0000

DFT total energy = -31.5 eV for the cell shown
crystal system = cubic
formation enthalpy at 0 K = -14.4 kcal/mol of atoms

=====

[4]
The following is a GGA-PBEsol calculation of Sm3P6Pd20 after structural relaxation, from the Alexandria database.

Cell: 8.5753 8.5753 8.5753 Å, 60.00 60.00 60.00°
Atoms (fractional coordinates):
Sm: 0.0000 0.0000 0.0000
Sm: 0.2500 0.2500 0.2500
Sm: 0.7500 0.7500 0.7500
P: 0.2628 0.2628 0.7372
P: 0.2628 0.7372 0.2628
P: 0.2628 0.7372 0.7372
P: 0.7372 0.2628 0.2628
P: 0.7372 0.2628 0.7372
P: 0.7372 0.7372 0.2628
Pd: 0.0000 0.0000 0.3469
Pd: 0.0000 0.0000 0.6531
Pd: 0.0000 0.3469 0.0000
Pd: 0.0000 0.3469 0.6531
Pd: 0.0000 0.6531 0.0000
Pd: 0.0000 0.6531 0.3469
Pd: 0.1565 0.6145 0.6145
Pd: 0.3469 0.0000 0.0000
Pd: 0.3469 0.0000 0.6531
Pd: 0.3469 0.6531 0.0000
Pd: 0.3855 0.3855 0.3855
Pd: 0.3855 0.3855 0.8435
Pd: 0.3855 0.8435 0.3855
Pd: 0.6145 0.1565 0.6145
Pd: 0.6145 0.6145 0.1565
Pd: 0.6145 0.6145 0.6145
Pd: 0.6531 0.0000 0.0000
Pd: 0.6531 0.0000 0.3469
Pd: 0.6531 0.3469 0.0000
Pd: 0.8435 0.3855 0.3855

DFT total energy = -191.3 eV for the cell shown
crystal system = cubic
formation enthalpy at 0 K = -17.6 kcal/mol of atoms

=====

[5]
The following is a GGA-PBEsol calculation of BeTcP2 after structural relaxation, from the Alexandria database.

Cell: 7.6711 2.9362 4.2832 Å, 90.00 94.66 90.00°
Atoms (fractional coordinates):
Be: 0.0000 0.0000 0.0000
Be: 0.5000 0.5000 0.0000
Tc: 0.0000 0.5000 0.5000
Tc: 0.5000 0.0000 0.5000
P: 0.2292 0.0000 0.7487
P: 0.2708 0.5000 0.2513
P: 0.7292 0.5000 0.7487
P: 0.7708 0.0000 0.2513

DFT total energy = -55.1 eV for the cell shown
crystal system = monoclinic
formation enthalpy at 0 K = -3.9 kcal/mol of atoms

=====

[6]
The following is a GGA-PBEsol calculation of Li2SbPb after structural relaxation, from the Alexandria database.

Cell: 4.2913 4.2913 9.5773 Å, 90.00 90.00 90.00°
Atoms (fractional coordinates):
Li: 0.0000 0.0000 0.0000
Li: 0.0000 0.5000 0.2500
Li: 0.5000 0.0000 0.7500
Li: 0.5000 0.5000 0.5000
Sb: 0.0000 0.5000 0.7500
Sb: 0.5000 0.0000 0.2500
Pb: 0.0000 0.0000 0.5000
Pb: 0.5000 0.5000 0.0000

DFT total energy = -27.7 eV for the cell shown
crystal system = tetragonal
relative energy among the computed polymorphs = 0.0541 eV per atom

=====

[7]
The following is a GGA-PBEsol calculation of Lu3Si13Ir4 after structural relaxation, from the Alexandria database.

Cell: 8.6213 8.6213 8.6213 Å, 90.00 90.00 90.00°
Atoms (fractional coordinates):
Lu: 0.0000 0.2500 0.5000
Lu: 0.0000 0.7500 0.5000
Lu: 0.2500 0.5000 0.0000
Lu: 0.5000 0.0000 0.2500
Lu: 0.5000 0.0000 0.7500
Lu: 0.7500 0.5000 0.0000
Si: 0.0000 0.0000 0.0000
Si: 0.0000 0.2954 0.1377
Si: 0.0000 0.2954 0.8623
Si: 0.0000 0.7046 0.1377
Si: 0.0000 0.7046 0.8623
Si: 0.1377 0.0000 0.2954
Si: 0.1377 0.0000 0.7046
Si: 0.2046 0.5000 0.3623
Si: 0.2046 0.5000 0.6377
Si: 0.2954 0.1377 0.0000
Si: 0.2954 0.8623 0.0000
Si: 0.3623 0.2046 0.5000
Si: 0.3623 0.7954 0.5000
Si: 0.5000 0.3623 0.2046
Si: 0.5000 0.3623 0.7954
Si: 0.5000 0.5000 0.5000
Si: 0.5000 0.6377 0.2046
Si: 0.5000 0.6377 0.7954
Si: 0.6377 0.2046 0.5000
Si: 0.6377 0.7954 0.5000
Si: 0.7046 0.1377 0.0000
Si: 0.7046 0.8623 0.0000
Si: 0.7954 0.5000 0.3623
Si: 0.7954 0.5000 0.6377
Si: 0.8623 0.0000 0.2954
Si: 0.8623 0.0000 0.7046
Ir: 0.2500 0.2500 0.2500
Ir: 0.2500 0.2500 0.7500
Ir: 0.2500 0.7500 0.2500
Ir: 0.2500 0.7500 0.7500
Ir: 0.7500 0.2500 0.2500
Ir: 0.7500 0.2500 0.7500
Ir: 0.7500 0.7500 0.2500
Ir: 0.7500 0.7500 0.7500

DFT total energy = -284.0 eV for the cell shown
crystal system = cubic

=====

[8]
The following is a GGA-PBEsol calculation of Re2MoPb after structural relaxation, from the Alexandria database.

Cell: 5.4557 8.0976 3.0067 Å, 90.00 90.00 90.00°
Atoms (fractional coordinates):
Re: 0.2500 0.2500 0.0000
Re: 0.2500 0.7500 0.0000
Re: 0.7500 0.2500 0.0000
Re: 0.7500 0.7500 0.0000
Mo: 0.0000 0.0000 0.5000
Mo: 0.5000 0.5000 0.5000
Pb: 0.0000 0.5000 0.5000
Pb: 0.5000 0.0000 0.5000

DFT total energy = -77.6 eV for the cell shown
crystal system = orthorhombic
formation enthalpy at 0 K = 20.9 kcal/mol of atoms

=====

[9]
The following is a GGA-PBEsol calculation of CrFe2P after structural relaxation, from the Alexandria database.

Cell: 3.5933 2.5435 9.1288 Å, 90.00 90.00 90.00°
Atoms (fractional coordinates):
Cr: 0.0000 0.0000 0.0000
Cr: 0.0000 0.5000 0.5000
Fe: 0.0000 0.0000 0.7419
Fe: 0.0000 0.5000 0.2419
Fe: 0.5000 0.0000 0.3600
Fe: 0.5000 0.5000 0.8600
P: 0.5000 0.0000 0.6084
P: 0.5000 0.5000 0.1084

DFT total energy = -69.6 eV for the cell shown
crystal system = orthorhombic
formation enthalpy at 0 K = -4.8 kcal/mol of atoms

=====

[10]
The following is a GGA-PBEsol calculation of TlCd2Cu after structural relaxation, from the Alexandria database.

Cell: 3.1038 3.1038 8.4094 Å, 90.00 90.00 90.00°
Atoms (fractional coordinates):
Tl: 0.0000 0.0000 0.0000
Cd: 0.5000 0.5000 0.3076
Cd: 0.5000 0.5000 0.6924
Cu: 0.0000 0.0000 0.5000

DFT total energy = -9.0 eV for the cell shown
crystal system = tetragonal
formation enthalpy at 0 K = 2.1 kcal/mol of atoms

=====

[11]
The following is a GGA-PBEsol calculation of Cs2I4O11 after structural relaxation, from the Alexandria database.

Cell: 7.2643 7.2643 13.4573 Å, 90.00 90.00 120.00°
Atoms (fractional coordinates):
Cs: 0.3333 0.6667 0.0000
Cs: 0.3333 0.6667 0.3732
Cs: 0.6667 0.3333 0.5000
Cs: 0.6667 0.3333 0.8732
I: 0.0000 0.0000 0.4447
I: 0.0000 0.0000 0.9447
I: 0.1341 0.3328 0.6950
I: 0.1987 0.8659 0.6950
I: 0.3328 0.1987 0.1950
I: 0.6672 0.8013 0.6950
I: 0.8013 0.1341 0.1950
I: 0.8659 0.6672 0.1950
O: 0.0000 0.0000 0.2031
O: 0.0000 0.0000 0.7031
O: 0.0518 0.3848 0.1882
O: 0.0869 0.2543 0.5087
O: 0.1075 0.3469 0.8285
O: 0.1674 0.9131 0.5087
O: 0.2394 0.8925 0.8285
O: 0.2543 0.1674 0.0087
O: 0.3333 0.6667 0.6756
O: 0.3329 0.9482 0.1882
O: 0.3469 0.2394 0.3285
O: 0.3848 0.3329 0.6882
O: 0.6152 0.6671 0.1882
O: 0.6531 0.7606 0.8285
O: 0.6671 0.0518 0.6882
O: 0.6667 0.3333 0.1756
O: 0.7457 0.8326 0.5087
O: 0.7606 0.1075 0.3285
O: 0.8326 0.0869 0.0087
O: 0.8925 0.6531 0.3285
O: 0.9131 0.7457 0.0087
O: 0.9482 0.6152 0.6882

DFT total energy = -158.4 eV for the cell shown
crystal system = hexagonal
relative energy among the computed polymorphs = 0.0036 eV per atom

=====

[12]
The following is a GGA-PBEsol calculation of LiDy2Os after structural relaxation, from the Alexandria database.

Cell: 6.8201 6.8201 6.8201 Å, 90.00 90.00 90.00°
Atoms (fractional coordinates):
Li: 0.0000 0.0000 0.0000
Li: 0.0000 0.5000 0.5000
Li: 0.5000 0.0000 0.5000
Li: 0.5000 0.5000 0.0000
Dy: 0.2500 0.2500 0.2500
Dy: 0.2500 0.2500 0.7500
Dy: 0.2500 0.7500 0.2500
Dy: 0.2500 0.7500 0.7500
Dy: 0.7500 0.2500 0.2500
Dy: 0.7500 0.2500 0.7500
Dy: 0.7500 0.7500 0.2500
Dy: 0.7500 0.7500 0.7500
Os: 0.0000 0.0000 0.5000
Os: 0.0000 0.5000 0.0000
Os: 0.5000 0.0000 0.0000
Os: 0.5000 0.5000 0.5000

DFT total energy = -100.2 eV for the cell shown
crystal system = cubic
formation enthalpy at 0 K = -5.2 kcal/mol of atoms

=====

[13]
The following is a GGA-PBEsol calculation of AlCuCl2 after structural relaxation, from the Alexandria database.

Cell: 3.0993 6.1637 8.3756 Å, 90.00 90.00 90.00°
Atoms (fractional coordinates):
Al: 0.0000 0.0000 0.0000
Al: 0.5000 0.5000 0.5000
Cu: 0.0000 0.5000 0.7218
Cu: 0.5000 0.0000 0.2218
Cl: 0.0000 0.0000 0.4322
Cl: 0.0000 0.5000 0.2893
Cl: 0.5000 0.0000 0.7893
Cl: 0.5000 0.5000 0.9322

DFT total energy = -28.3 eV for the cell shown
crystal system = orthorhombic

=====

[14]
The following is a GGA-PBEsol calculation of La2ScTc after structural relaxation, from the Alexandria database.

Cell: 3.4132 3.4132 8.2320 Å, 90.00 90.00 90.00°
Atoms (fractional coordinates):
La: 0.0000 0.0000 0.0000
La: 0.5000 0.5000 0.2989
Sc: 0.0000 0.0000 0.6136
Tc: 0.5000 0.5000 0.7897

DFT total energy = -28.3 eV for the cell shown
crystal system = tetragonal
relative energy among the computed polymorphs = 0.0000 eV per atom
formation enthalpy at 0 K = 1.6 kcal/mol of atoms

=====

[15]
The following is a GGA-PBEsol calculation of InH12N3F6 after structural relaxation, from the Alexandria database.

Cell: 11.5534 6.4557 11.5101 Å, 90.00 112.67 90.00°
Atoms (fractional coordinates):
In: 0.0000 0.0000 0.0000
In: 0.0000 0.5000 0.5000
In: 0.5000 0.0000 0.5000
In: 0.5000 0.5000 0.0000
H: 0.0386 0.0122 0.2720
H: 0.0386 0.4878 0.7720
H: 0.0861 0.0489 0.4312
H: 0.0861 0.4511 0.9312
H: 0.1056 0.6872 0.8703
H: 0.1056 0.8128 0.3703
H: 0.1947 0.0253 0.3682
H: 0.1946 0.1018 0.6608
H: 0.1946 0.3982 0.1608
H: 0.1947 0.4747 0.8682
H: 0.2443 0.6087 0.2568
H: 0.2443 0.8913 0.7568
H: 0.2742 0.5440 0.6116
H: 0.2742 0.9560 0.1116
H: 0.2997 0.1312 0.8128
H: 0.2997 0.3688 0.3128
H: 0.3397 0.1424 0.0472
H: 0.3397 0.3576 0.5472
H: 0.3455 0.0081 0.7050
H: 0.3455 0.4919 0.2050
H: 0.3775 0.6060 0.5426
H: 0.3775 0.8940 0.0426
H: 0.4284 0.0214 0.1867
H: 0.4284 0.4786 0.6867
H: 0.5716 0.5214 0.3133
H: 0.5716 0.9786 0.8133
H: 0.6225 0.1060 0.9574
H: 0.6225 0.3940 0.4574
H: 0.6545 0.5081 0.7950
H: 0.6545 0.9919 0.2950
H: 0.6603 0.6424 0.4528
H: 0.6603 0.8576 0.9528
H: 0.7003 0.6312 0.6872
H: 0.7003 0.8688 0.1872
H: 0.7258 0.0440 0.8884
H: 0.7258 0.4560 0.3884
H: 0.7557 0.1087 0.2432
H: 0.7557 0.3913 0.7432
H: 0.8053 0.5253 0.1318
H: 0.8054 0.6018 0.8392
H: 0.8054 0.8982 0.3392
H: 0.8053 0.9747 0.6318
H: 0.8944 0.1872 0.6297
H: 0.8944 0.3128 0.1297
H: 0.9139 0.5489 0.0688
H: 0.9139 0.9511 0.5688
H: 0.9614 0.5122 0.2280
H: 0.9614 0.9878 0.7280
N: 0.1068 0.5258 0.8607
N: 0.1068 0.9742 0.3607
N: 0.2709 0.0333 0.7343
N: 0.2709 0.4667 0.2343
N: 0.3553 0.0049 0.0982
N: 0.3553 0.4951 0.5982
N: 0.6447 0.5049 0.4018
N: 0.6447 0.9951 0.9018
N: 0.7291 0.5333 0.7657
N: 0.7291 0.9667 0.2657
N: 0.8932 0.0258 0.6393
N: 0.8932 0.4742 0.1393
F: 0.0795 0.5544 0.3670
F: 0.0795 0.9456 0.8670
F: 0.0846 0.2072 0.5450
F: 0.0846 0.2928 0.0450
F: 0.1560 0.6341 0.6387
F: 0.1560 0.8659 0.1387
F: 0.3352 0.1816 0.4255
F: 0.3352 0.3184 0.9255
F: 0.3922 0.7411 0.4303
F: 0.3922 0.7589 0.9303
F: 0.4658 0.5360 0.1657
F: 0.4658 0.9640 0.6657
F: 0.5342 0.0360 0.3343
F: 0.5342 0.4640 0.8343
F: 0.6078 0.2411 0.0697
F: 0.6078 0.2589 0.5697
F: 0.6648 0.6816 0.0745
F: 0.6648 0.8184 0.5745
F: 0.8440 0.1341 0.8613
F: 0.8440 0.3659 0.3613
F: 0.9154 0.7072 0.9550
F: 0.9154 0.7928 0.4550
F: 0.9205 0.0544 0.1330
F: 0.9205 0.4456 0.6330

DFT total energy = -431.6 eV for the cell shown
crystal system = monoclinic

=====

[16]
The following is a GGA-PBEsol calculation of Mo2Br3 after structural relaxation, from the Alexandria database.

Cell: 4.4818 4.4818 8.0667 Å, 90.00 90.00 120.00°
Atoms (fractional coordinates):
Mo: 0.3333 0.6667 0.0350
Mo: 0.6667 0.3333 0.9650
Br: 0.0000 0.0000 0.0000
Br: 0.3333 0.6667 0.3343
Br: 0.6667 0.3333 0.6657

DFT total energy = -27.6 eV for the cell shown
crystal system = trigonal

=====

[17]
The following is a GGA-PBEsol calculation of KHg2BiC after structural relaxation, from the Alexandria database.

Cell: 6.0665 6.0665 4.4461 Å, 90.00 90.00 90.00°
Atoms (fractional coordinates):
K: 0.0000 0.0000 0.0000
Hg: 0.0000 0.5000 0.5000
Hg: 0.5000 0.0000 0.5000
Bi: 0.5000 0.5000 0.5000
C: 0.5000 0.5000 0.0000

DFT total energy = -11.4 eV for the cell shown
crystal system = tetragonal
formation enthalpy at 0 K = 22.3 kcal/mol of atoms

=====

[18]
The following is a GGA-PBEsol calculation of Cr2HOs after structural relaxation, from the Alexandria database.

Cell: 5.6079 5.6079 5.6079 Å, 90.00 90.00 90.00°
Atoms (fractional coordinates):
Cr: 0.2500 0.2500 0.2500
Cr: 0.2500 0.2500 0.7500
Cr: 0.2500 0.7500 0.2500
Cr: 0.2500 0.7500 0.7500
Cr: 0.7500 0.2500 0.2500
Cr: 0.7500 0.2500 0.7500
Cr: 0.7500 0.7500 0.2500
Cr: 0.7500 0.7500 0.7500
H: 0.0000 0.0000 0.0000
H: 0.0000 0.5000 0.5000
H: 0.5000 0.0000 0.5000
H: 0.5000 0.5000 0.0000
Os: 0.0000 0.0000 0.5000
Os: 0.0000 0.5000 0.0000
Os: 0.5000 0.0000 0.0000
Os: 0.5000 0.5000 0.5000

DFT total energy = -131.8 eV for the cell shown
crystal system = cubic

=====

[19]
The following is a GGA-PBEsol calculation of CsCr5Se8 after structural relaxation, from the Alexandria database.

Cell: 9.5344 9.5344 8.9940 Å, 104.16 104.16 22.04°
Atoms (fractional coordinates):
Cs: 0.0000 0.0000 0.0000
Cr: 0.1596 0.1596 0.4818
Cr: 0.2040 0.2040 0.8338
Cr: 0.5000 0.5000 0.5000
Cr: 0.7960 0.7960 0.1662
Cr: 0.8404 0.8404 0.5182
Se: 0.0748 0.0748 0.6552
Se: 0.2608 0.2608 0.3414
Se: 0.3283 0.3283 0.0094
Se: 0.4112 0.4112 0.6670
Se: 0.5888 0.5888 0.3330
Se: 0.6717 0.6717 0.9906
Se: 0.7392 0.7392 0.6586
Se: 0.9252 0.9252 0.3448

DFT total energy = -91.3 eV for the cell shown
crystal system = monoclinic